# 1
{
  "formula": "NaZr2Cl8",
  "functional": "GGA-PBE",
  "state": "relaxed",
  "magnetic_moment_mub_per_atom": 0.0932,
  "e_form_raw_mev_per_atom": -1640,
  "lattice": [[5.126, 0.000, 0.000], [0.000, 7.581, -4.376], [0.000, -0.001, 8.754]],
  "species": ["Cl", "Cl", "Cl", "Cl", "Cl", "Cl", "Cl", "Cl", "Zr", "Zr", "Na"],
  "frac_coords": [[0.252, 0.650, 0.824], [0.252, 0.667, 0.333], [0.748, 0.333, 0.667], [0.748, 0.826, 0.650], [0.252, 0.176, 0.826], [0.748, 0.350, 0.176], [0.252, 0.174, 0.350], [0.748, 0.824, 0.174], [0.756, 0.667, 0.333], [0.244, 0.333, 0.667], [0.000, 0.000, 0.000]]
}


# 2
{
  "formula": "Na3ZrCl",
  "functional": "GGA-PBE",
  "state": "relaxed",
  "magnetic_moment_mub_per_atom": 0.8005,
  "e_form_raw_mev_per_atom": 165,
  "lattice": [[5.400, 0.000, 0.000], [0.000, 5.400, 0.000], [0.000, 0.000, 5.400]],
  "species": ["Na", "Na", "Na", "Cl", "Zr"],
  "frac_coords": [[0.500, 0.000, 0.000], [0.000, 0.500, 0.000], [0.000, 0.000, 0.500], [0.000, 0.000, 0.000], [0.500, 0.500, 0.500]]
}


# 3
{
  "formula": "Na2ZrCl8",
  "functional": "GGA-PBE",
  "state": "relaxed",
  "magnetic_moment_mub_per_atom": 0.0000,
  "e_form_raw_mev_per_atom": -1287,
  "lattice": [[4.722, 0.000, 0.000], [0.000, 6.752, 0.827], [-2.361, -1.599, 10.377]],
  "species": ["Cl", "Cl", "Cl", "Cl", "Cl", "Cl", "Cl", "Cl", "Na", "Na", "Zr"],
  "frac_coords": [[0.595, 0.248, 0.190], [0.243, 0.476, 0.485], [0.405, 0.227, 0.809], [0.757, 0.524, 0.515], [0.000, 0.785, 0.000], [0.000, 0.215, 0.000], [0.405, 0.752, 0.810], [0.595, 0.773, 0.191], [0.895, 0.488, 0.791], [0.105, 0.512, 0.209], [0.500, 0.000, 0.000]]
}